Material: Pr2Ni4P3Rh
Method: DFT, GGA-PBE
State: optimized geometry

Output
Total DFT energy (no corrections) (eV per cell): -64.29
D(E_F) (states/eV/cell): 8.5
ΔH_f (0 K) (meV/atom): -802

Structure (CIF):
```
data_Pr2Ni4P3Rh
_chemical_formula_sum 'Pr2 Ni4 P3 Rh1'
_symmetry_space_group_name_H-M 'P -4 m 2'
_symmetry_Int_Tables_number 115
_symmetry_space_group_name_Hall 'P -4 -2'
_cell_length_a 3.992
_cell_length_b 3.992
_cell_length_c 9.744
_cell_angle_alpha 90.00
_cell_angle_beta 90.00
_cell_angle_gamma 90.00
loop_
_atom_site_label
_atom_site_fract_x
_atom_site_fract_y
_atom_site_fract_z
Pr1 0.000 0.500 0.248
Ni1 0.000 0.000 0.000
Ni2 0.000 0.500 0.645
Ni3 0.500 0.500 0.000
P1 0.000 0.500 0.877
P2 0.500 0.500 0.500
Rh1 0.000 0.000 0.500
```